Entry from Alexandria via LeMat-Bulk: SmTmRu4 after structural relaxation (PBE-GGA).

## Properties
Crystal system: cubic
Calculated volume, Å³ per atom: 18.006
E, eV per atom: -7.984
ρ, g/cm³: 11.12

Lattice parameters (Å, degrees): 7.5604 7.5604 7.5604 90.00 90.00 90.00
Last column: nearest neighbours and their distance in Å.
Space group F-43m (No. 216)
Inequivalent atoms, fractional coordinates:
Sm  0.0000  0.0000  0.0000 [4 per cell]  12 Ru 3.13, 4 Tm 3.27
Tm  0.2500  0.2500  0.7500 [4 per cell]  12 Ru 3.13, 4 Sm 3.27
Ru  0.1248  0.1248  0.3752 [16 per cell]  6 Ru 2.67-2.68